# PBE Sm2NiSn4Pt3, optimized geometry
data_Sm2NiSn4Pt3
_chemical_formula_sum 'Sm2 Ni1 Sn4 Pt3'
_space_group_name_H-M_alt 'P -4 m 2'
_space_group_IT_number 115
_space_group_name_Hall 'P -4 -2'
_cell_length_a 4.5205
_cell_length_b 4.5205
_cell_length_c 10.8122
_cell_angle_alpha 90.00
_cell_angle_beta 90.00
_cell_angle_gamma 90.00
loop_
_atom_site_label
_atom_site_type_symbol
_atom_site_fract_x
_atom_site_fract_y
_atom_site_fract_z
Sm1 Sm 0.0000 0.5000 0.2329
Ni1 Ni 0.5000 0.5000 0.0000
Sn1 Sn 0.0000 0.0000 0.5000
Sn2 Sn 0.0000 0.5000 0.8766
Sn3 Sn 0.5000 0.5000 0.5000
Pt1 Pt 0.0000 0.0000 0.0000
Pt2 Pt 0.0000 0.5000 0.6359
# DOS(E_F): 5.0 states/eV/f.u.
# Calculated formation energy: -717 kJ/mol of formula units
# Electronic total energy: -5.678 eV per atom
# Crystal system: tetragonal
# Density: 10.67 g/cm³

***

# PBE BaBi4Pd2, optimized geometry
data_BaBi4Pd2
_chemical_formula_sum 'Ba4 Bi16 Pd8'
_space_group_name_H-M_alt 'P n m a'
_space_group_IT_number 62
_space_group_name_Hall '-P 2ac 2n'
_cell_length_a 20.8850
_cell_length_b 4.7504
_cell_length_c 7.9227
_cell_angle_alpha 90.00
_cell_angle_beta 90.00
_cell_angle_gamma 90.00
loop_
_atom_site_label
_atom_site_type_symbol
_atom_site_fract_x
_atom_site_fract_y
_atom_site_fract_z
Ba1 Ba 0.1412 0.2500 0.0006
Bi1 Bi 0.0259 0.7500 0.8588
Bi2 Bi 0.0675 0.2500 0.4865
Bi3 Bi 0.1807 0.7500 0.3093
Bi4 Bi 0.1986 0.7500 0.7150
Pd1 Pd 0.0381 0.7500 0.2608
Pd2 Pd 0.2127 0.2500 0.5106
# DOS(E_F): 2.2 states/eV/f.u.
# Calculated formation energy: -293 kJ/mol of formula units
# Electronic total energy: -4.409 eV per atom
# Offset from the most stable computed form: 0 kJ/mol of formula units
# Crystal system: orthorhombic
# Density: 10.02 g/cm³

***

# PBE PaHg3Te6Pb2, optimized geometry
data_PaHg3Te6Pb2
_chemical_formula_sum 'Pa2 Hg6 Te12 Pb4'
_space_group_name_H-M_alt 'C 1 2/m 1'
_space_group_IT_number 12
_space_group_name_Hall '-C 2y'
_cell_length_a 8.0209
_cell_length_b 13.7349
_cell_length_c 7.7539
_cell_angle_alpha 90.00
_cell_angle_beta 102.63
_cell_angle_gamma 90.00
loop_
_atom_site_label
_atom_site_type_symbol
_atom_site_fract_x
_atom_site_fract_y
_atom_site_fract_z
Pa1 Pa 0.0000 0.0000 0.0000
Hg1 Hg 0.0000 0.1436 0.5000
Hg2 Hg 0.0000 0.5000 0.5000
Te1 Te 0.2129 0.1561 0.2410
Te2 Te 0.2402 0.5000 0.2182
Pb1 Pb 0.0000 0.3240 0.0000
# Energy relative to the elements, uncorrected: -3.7 eV per formula unit
# DOS(E_F): 5.9 states/eV/f.u.
# Electronic total energy: -3.363 eV per atom
# Crystal system: monoclinic
# Density: 8.02 g/cm³

***

# PBE VCdH, optimized geometry
data_VCdH
_chemical_formula_sum 'V4 Cd4 H4'
_space_group_name_H-M_alt 'P n m a'
_space_group_IT_number 62
_space_group_name_Hall '-P 2ac 2n'
_cell_length_a 5.5853
_cell_length_b 3.0198
_cell_length_c 9.5411
_cell_angle_alpha 90.00
_cell_angle_beta 90.00
_cell_angle_gamma 90.00
loop_
_atom_site_label
_atom_site_type_symbol
_atom_site_fract_x
_atom_site_fract_y
_atom_site_fract_z
V1 V 0.1618 0.2500 0.0278
Cd1 Cd 0.0084 0.2500 0.7107
H1 H 0.1428 0.7500 0.9222
# DOS(E_F): 1.7 states/eV/f.u.
# Electronic total energy: -4.288 eV per atom
# Offset from the most stable computed form: 59 kJ/mol of formula units
# Crystal system: orthorhombic
# Density: 6.78 g/cm³

***

# PBE MgCu2Te, optimized geometry
data_MgCu2Te
_chemical_formula_sum 'Mg2 Cu4 Te2'
_space_group_name_H-M_alt 'I m m 2'
_space_group_IT_number 44
_space_group_name_Hall 'I 2 -2'
_cell_length_a 3.9492
_cell_length_b 4.0631
_cell_length_c 8.9725
_cell_angle_alpha 90.00
_cell_angle_beta 90.00
_cell_angle_gamma 90.00
loop_
_atom_site_label
_atom_site_type_symbol
_atom_site_fract_x
_atom_site_fract_y
_atom_site_fract_z
Mg1 Mg 0.0000 0.0000 0.0000
Cu1 Cu 0.0000 0.0000 0.5228
Cu2 Cu 0.0000 0.5000 0.2230
Te1 Te 0.0000 0.5000 0.7585
# Energy relative to the elements, uncorrected: 0.2 eV per formula unit
# DOS(E_F): 1.2 states/eV/f.u.
# Electronic total energy: -3.180 eV per atom
# Offset from the most stable computed form: 40 kJ/mol of formula units
# Crystal system: orthorhombic
# Density: 6.44 g/cm³

***

# PBE NaErO2, optimized geometry
data_NaErO2
_chemical_formula_sum 'Na3 Er3 O6'
_space_group_name_H-M_alt 'R -3 m'
_space_group_IT_number 166
_space_group_name_Hall '-R 3 2"'
_cell_length_a 3.3877
_cell_length_b 3.3877
_cell_length_c 16.7153
_cell_angle_alpha 90.00
_cell_angle_beta 90.00
_cell_angle_gamma 120.00
loop_
_atom_site_label
_atom_site_type_symbol
_atom_site_fract_x
_atom_site_fract_y
_atom_site_fract_z
Na1 Na 0.0000 0.0000 0.0000
Er1 Er 0.0000 0.0000 0.5000
O1 O 0.0000 0.0000 0.2365
# Energy relative to the elements, uncorrected: -11.4 eV per formula unit
# DOS(E_F): 0.0 states/eV/f.u.
# Electronic total energy: -6.791 eV per atom
# Crystal system: trigonal
# Density: 6.66 g/cm³